Entry 1:
DFT (PBE-GGA) results for a relaxed structure of Cd3AsS.

Output
E above lowest polymorph: 0.397 eV per atom
DOS at the Fermi energy: 0.494 states/eV per atom
volume: 139.3 Å³ per cell
M_tot: 0.000 μB per cell
formation energy from raw total energies: 257 meV per atom

Lattice parameters (Å, degrees): 5.184 5.184 5.184 90.00 90.00 90.00
Sites, in units of the cell vectors:
1 Cd 0.000 0.000 0.500
2 Cd 0.000 0.500 0.000
3 Cd 0.500 0.000 0.000
4 As 0.000 0.000 0.000
5 S 0.500 0.500 0.500

Entry 2:
DFT (PBE-GGA) results for a relaxed structure of Cd3AsS.

Output
E above lowest polymorph: 0.000 eV per atom
DOS at the Fermi energy: 0.021 states/eV per atom
volume: 596.1 Å³ per cell
M_tot: 0.000 μB per cell
formation energy from raw total energies: -140 meV per atom

Lattice parameters (Å, degrees): 9.407 9.407 7.756 110.18 110.18 74.59
Sites, in units of the cell vectors:
1 Cd 0.087 0.121 0.874
2 Cd 0.121 0.087 0.374
3 Cd 0.154 0.723 0.858
4 Cd 0.277 0.846 0.642
5 Cd 0.306 0.491 0.343
6 Cd 0.491 0.306 0.843
7 Cd 0.509 0.694 0.157
8 Cd 0.694 0.509 0.657
9 Cd 0.723 0.154 0.358
10 Cd 0.846 0.277 0.142
11 Cd 0.879 0.913 0.626
12 Cd 0.913 0.879 0.126
13 As 0.238 0.762 0.250
14 As 0.417 0.583 0.750
15 As 0.583 0.417 0.250
16 As 0.762 0.238 0.750
17 S 0.140 0.284 0.224
18 S 0.284 0.140 0.724
19 S 0.716 0.860 0.276
20 S 0.860 0.716 0.776

Entry 3:
DFT (PBE-GGA) results for a relaxed structure of TaCdAs2S.

Output
DOS at the Fermi energy: 0.826 states/eV per atom
volume: 122.2 Å³ per cell
M_tot: 0.000 μB per cell
formation energy from raw total energies: 76 meV per atom

Lattice parameters (Å, degrees): 5.114 5.114 4.673 90.00 90.00 90.00
Sites, in units of the cell vectors:
1 Ta 0.000 0.000 0.000
2 Cd 0.500 0.500 0.500
3 As 0.000 0.500 0.000
4 As 0.500 0.000 0.000
5 S 0.000 0.000 0.500

Entry 4:
DFT (PBE-GGA) results for a relaxed structure of CdTc2AsS.

Output
DOS at the Fermi energy: 0.604 states/eV per atom
volume: 108.6 Å³ per cell
M_tot: 4.733 μB per cell
formation energy from raw total energies: 1084 meV per atom

Lattice parameters (Å, degrees): 4.709 4.709 4.896 90.00 90.00 90.00
Sites, in units of the cell vectors:
1 Cd 0.000 0.000 0.000
2 Tc 0.000 0.500 0.500
3 Tc 0.500 0.000 0.500
4 As 0.500 0.500 0.500
5 S 0.500 0.500 0.000

Entry 5:
DFT (PBE-GGA) results for a relaxed structure of CdSb2As2.

Output
E above lowest polymorph: 0.118 eV per atom
DOS at the Fermi energy: 0.352 states/eV per atom
volume: 147.2 Å³ per cell
M_tot: 0.000 μB per cell
formation energy from raw total energies: 236 meV per atom

Lattice parameters (Å, degrees): 6.660 6.660 6.660 134.66 134.66 66.06
Sites, in units of the cell vectors:
1 Cd 0.000 0.000 0.000
2 Sb 0.354 0.354 0.000
3 Sb 0.646 0.646 0.000
4 As 0.250 0.750 0.500
5 As 0.750 0.250 0.500

Entry 6:
DFT (PBE-GGA) results for a relaxed structure of CdSb2As2.

Output
E above lowest polymorph: 0.065 eV per atom
DOS at the Fermi energy: 0.475 states/eV per atom
volume: 133.0 Å³ per cell
M_tot: 0.000 μB per cell
formation energy from raw total energies: 183 meV per atom

Lattice parameters (Å, degrees): 5.730 5.730 5.730 120.02 120.02 89.96
Sites, in units of the cell vectors:
1 Cd 0.000 0.000 0.000
2 Sb 0.250 0.750 0.500
3 Sb 0.750 0.250 0.500
4 As 0.329 0.329 0.000
5 As 0.671 0.671 0.000